CaMn2Fe2: relaxed, PBE-GGA.

Cell: 5.435 5.435 5.435 Å, 136.86 136.86 62.65°
Fractional positions:
Ca1 0.000 0.000 0.000
Mn1 0.250 0.750 0.500
Mn2 0.750 0.250 0.500
Fe1 0.377 0.377 0.000
Fe2 0.623 0.623 0.000

Final energy   -35.7 eV/cell
Symmetry   I4/mmm, No. 139